Record 1
DFT (GGA-PBE) results for a relaxed structure of Cr2FeCu.

Summary:
space group = R-3m
energy relative to the elements = 260 meV per atom

```
data_Cr2FeCu
_chemical_formula_sum 'Cr2 Fe1 Cu1'
_space_group_name_H-M_alt 'P 1'
_space_group_IT_number 1
_cell_length_a 8.559
_cell_length_b 8.559
_cell_length_c 8.559
_cell_angle_alpha 16.84
_cell_angle_beta 16.84
_cell_angle_gamma 16.84
loop_
_space_group_symop_operation_xyz
'x,y,z'
loop_
_atom_site_label
_atom_site_type_symbol
_atom_site_fract_x
_atom_site_fract_y
_atom_site_fract_z
Cr1 Cr 0.246 0.246 0.246
Cr2 Cr 0.754 0.754 0.754
Fe1 Fe 0.500 0.500 0.500
Cu1 Cu 0.000 0.000 0.000
```



Record 2
DFT (GGA-PBE) results for a relaxed structure of Cs2Tl3.

Summary:
space group = Cmce
energy relative to the elements = -70 meV per atom

```
data_Cs2Tl3
_chemical_formula_sum 'Cs4 Tl6'
_space_group_name_H-M_alt 'P 1'
_space_group_IT_number 1
_cell_length_a 7.772
_cell_length_b 7.772
_cell_length_c 10.258
_cell_angle_alpha 90.00
_cell_angle_beta 90.00
_cell_angle_gamma 129.92
loop_
_space_group_symop_operation_xyz
'x,y,z'
loop_
_atom_site_label
_atom_site_type_symbol
_atom_site_fract_x
_atom_site_fract_y
_atom_site_fract_z
Cs1 Cs 0.163 0.837 0.902
Cs2 Cs 0.337 0.663 0.402
Cs3 Cs 0.663 0.337 0.598
Cs4 Cs 0.837 0.163 0.098
Tl1 Tl 0.000 0.000 0.500
Tl2 Tl 0.166 0.334 0.750
Tl3 Tl 0.334 0.166 0.250
Tl4 Tl 0.500 0.500 0.000
Tl5 Tl 0.666 0.834 0.750
Tl6 Tl 0.834 0.666 0.250
```



Record 3
DFT (GGA-PBE) results for a relaxed structure of Er4MgBi2.

Summary:
space group = P-1
energy relative to the elements = -365 meV per atom

```
data_Er4MgBi2
_chemical_formula_sum 'Er8 Mg2 Bi4'
_space_group_name_H-M_alt 'P 1'
_space_group_IT_number 1
_cell_length_a 6.486
_cell_length_b 6.639
_cell_length_c 9.719
_cell_angle_alpha 94.60
_cell_angle_beta 98.58
_cell_angle_gamma 94.12
loop_
_space_group_symop_operation_xyz
'x,y,z'
loop_
_atom_site_label
_atom_site_type_symbol
_atom_site_fract_x
_atom_site_fract_y
_atom_site_fract_z
Er1 Er 0.006 0.027 0.242
Er2 Er 0.123 0.476 0.729
Er3 Er 0.353 0.269 0.043
Er4 Er 0.490 0.127 0.704
Er5 Er 0.510 0.873 0.296
Er6 Er 0.647 0.731 0.957
Er7 Er 0.877 0.524 0.271
Er8 Er 0.994 0.973 0.758
Mg1 Mg 0.378 0.377 0.374
Mg2 Mg 0.622 0.623 0.626
Bi1 Bi 0.177 0.741 0.025
Bi2 Bi 0.197 0.784 0.503
Bi3 Bi 0.803 0.216 0.497
Bi4 Bi 0.823 0.259 0.975
```



Record 4
DFT (GGA-PBE) results for a relaxed structure of CrAs2Cl.

Summary:
space group = Fm-3m
ΔE_f (raw) = 3.3 eV/f.u.

```
data_CrAs2Cl
_chemical_formula_sum 'Cr1 As2 Cl1'
_space_group_name_H-M_alt 'P 1'
_space_group_IT_number 1
_cell_length_a 4.558
_cell_length_b 4.558
_cell_length_c 4.558
_cell_angle_alpha 60.00
_cell_angle_beta 60.00
_cell_angle_gamma 60.00
loop_
_space_group_symop_operation_xyz
'x,y,z'
loop_
_atom_site_label
_atom_site_type_symbol
_atom_site_fract_x
_atom_site_fract_y
_atom_site_fract_z
Cr1 Cr 0.000 0.000 0.000
As1 As 0.250 0.250 0.250
As2 As 0.750 0.750 0.750
Cl1 Cl 0.500 0.500 0.500
```



Record 5
DFT (GGA-PBE) results for a relaxed structure of BaMg2SnCl8.

Summary:
space group = R-3
ΔE_f (raw) = -20.5 eV/f.u.

```
data_BaMg2SnCl8
_chemical_formula_sum 'Ba1 Mg2 Sn1 Cl8'
_space_group_name_H-M_alt 'P 1'
_space_group_IT_number 1
_cell_length_a 9.843
_cell_length_b 9.843
_cell_length_c 9.843
_cell_angle_alpha 39.20
_cell_angle_beta 39.20
_cell_angle_gamma 39.20
loop_
_space_group_symop_operation_xyz
'x,y,z'
loop_
_atom_site_label
_atom_site_type_symbol
_atom_site_fract_x
_atom_site_fract_y
_atom_site_fract_z
Ba1 Ba 0.000 0.000 0.000
Mg1 Mg 0.249 0.249 0.249
Mg2 Mg 0.751 0.751 0.751
Sn1 Sn 0.500 0.500 0.500
Cl1 Cl 0.100 0.804 0.411
Cl2 Cl 0.196 0.589 0.900
Cl3 Cl 0.334 0.334 0.334
Cl4 Cl 0.411 0.100 0.804
Cl5 Cl 0.589 0.900 0.196
Cl6 Cl 0.666 0.666 0.666
Cl7 Cl 0.804 0.411 0.100
Cl8 Cl 0.900 0.196 0.589
```



Record 6
DFT (GGA-PBE) results for a relaxed structure of KTcPd.

Summary:
space group = P-1
energy relative to the elements = 558 meV per atom

```
data_KTcPd
_chemical_formula_sum 'K2 Tc2 Pd2'
_space_group_name_H-M_alt 'P 1'
_space_group_IT_number 1
_cell_length_a 5.242
_cell_length_b 5.264
_cell_length_c 6.336
_cell_angle_alpha 101.66
_cell_angle_beta 101.12
_cell_angle_gamma 118.61
loop_
_space_group_symop_operation_xyz
'x,y,z'
loop_
_atom_site_label
_atom_site_type_symbol
_atom_site_fract_x
_atom_site_fract_y
_atom_site_fract_z
K1 K 0.165 0.334 0.001
K2 K 0.835 0.666 0.999
Tc1 Tc 0.356 0.855 0.583
Tc2 Tc 0.644 0.145 0.417
Pd1 Pd 0.214 0.287 0.501
Pd2 Pd 0.786 0.713 0.499
```



Record 7
DFT (GGA-PBE) results for a relaxed structure of SrTlRe.

Summary:
space group = I4mm
energy relative to the elements = 837 meV per atom

```
data_SrTlRe
_chemical_formula_sum 'Sr1 Tl1 Re1'
_space_group_name_H-M_alt 'P 1'
_space_group_IT_number 1
_cell_length_a 6.195
_cell_length_b 6.195
_cell_length_c 6.195
_cell_angle_alpha 145.28
_cell_angle_beta 145.28
_cell_angle_gamma 49.91
loop_
_space_group_symop_operation_xyz
'x,y,z'
loop_
_atom_site_label
_atom_site_type_symbol
_atom_site_fract_x
_atom_site_fract_y
_atom_site_fract_z
Sr1 Sr 0.000 0.000 0.000
Tl1 Tl 0.715 0.715 0.000
Re1 Re 0.299 0.299 0.000
```



Record 8
DFT (GGA-PBE) results for a relaxed structure of LaTcRu2.

Summary:
space group = R-3m
energy relative to the elements = 488 meV per atom

```
data_LaTcRu2
_chemical_formula_sum 'La1 Tc1 Ru2'
_space_group_name_H-M_alt 'P 1'
_space_group_IT_number 1
_cell_length_a 9.843
_cell_length_b 9.843
_cell_length_c 9.843
_cell_angle_alpha 16.76
_cell_angle_beta 16.76
_cell_angle_gamma 16.76
loop_
_space_group_symop_operation_xyz
'x,y,z'
loop_
_atom_site_label
_atom_site_type_symbol
_atom_site_fract_x
_atom_site_fract_y
_atom_site_fract_z
La1 La 0.000 0.000 0.000
Tc1 Tc 0.500 0.500 0.500
Ru1 Ru 0.238 0.238 0.238
Ru2 Ru 0.762 0.762 0.762
```



no.,volume (Å³/cell),magnetization (μB per formula unit),VASP energy (eV per atom)
1,45.9,0.198,-7.691
2,475.2,0.000,-1.831
3,411.0,0.001,-4.309
4,66.9,0.000,-4.371
5,342.7,0.000,-3.696
6,141.5,0.000,-4.994
7,76.7,0.000,-4.662
8,69.2,0.279,-7.973